Entry 1:
First-principles (PBE-GGA) data for a relaxed Sm2Y5Tm6 crystal, as listed in Alexandria.

Values from the calculation:
space group: Pbam, No. 55
V: 32.1 Å³/atom
formation energy: 0.104 eV per atom
total magnetic moment: 0.00 Bohr magnetons per cell
VASP energy: -5.1719 eV/atom

Cell: 11.5863 20.1668 3.5668 Å, 90.00 90.00 90.00°
Last column: nearest neighbours and their distance in Å.
Fractional positions:
Sm (0.1686, 0.2134, 0.0000)  3 Tm 3.33-3.60, 4 Y 3.49-3.55, 2 Sm 3.57
Sm (0.3314, 0.7134, 0.0000)  3 Tm 3.33-3.60, 4 Y 3.49-3.55, 2 Sm 3.57
Sm (0.6686, 0.2866, 0.0000)  3 Tm 3.33-3.60, 4 Y 3.49-3.55, 2 Sm 3.57
Sm (0.8314, 0.7866, 0.0000)  3 Tm 3.33-3.60, 4 Y 3.49-3.55, 2 Sm 3.57
Y (0.0000, 0.5000, 0.5000)  6 Tm 3.34-3.36, 4 Y 3.57-3.64
Y (0.0897, 0.7762, 0.5000)  5 Tm 3.29-3.44, 4 Sm 3.49-3.55, 2 Y 3.57
Y (0.1990, 0.0509, 0.5000)  7 Tm 3.54-3.95, 3 Y 3.57-3.64, 2 Sm 3.75
Y (0.3010, 0.5509, 0.5000)  7 Tm 3.54-3.95, 3 Y 3.57-3.64, 2 Sm 3.75
Y (0.4103, 0.2762, 0.5000)  5 Tm 3.29-3.44, 4 Sm 3.49-3.55, 2 Y 3.57
Y (0.5000, 0.0000, 0.5000)  6 Tm 3.34-3.36, 4 Y 3.57-3.64
Y (0.5897, 0.7238, 0.5000)  5 Tm 3.29-3.44, 4 Sm 3.49-3.55, 2 Y 3.57
Y (0.6990, 0.4491, 0.5000)  7 Tm 3.54-3.95, 3 Y 3.57-3.64, 2 Sm 3.75
Y (0.8010, 0.9491, 0.5000)  7 Tm 3.54-3.95, 3 Y 3.57-3.64, 2 Sm 3.75
Y (0.9103, 0.2238, 0.5000)  5 Tm 3.29-3.44, 4 Sm 3.49-3.55, 2 Y 3.57
Tm (0.0608, 0.9213, 0.0000)  6 Y 3.44-3.55, 5 Tm 3.47-3.69, 1 Sm 3.80
Tm (0.0798, 0.6333, 0.0000)  1 Sm 3.33, 6 Y 3.36-3.54, 4 Tm 3.46-3.57
Tm (0.1761, 0.3687, 0.5000)  2 Y 3.29-3.34, 6 Tm 3.46-3.69, 2 Sm 3.60
Tm (0.3239, 0.8687, 0.5000)  2 Y 3.29-3.34, 6 Tm 3.46-3.69, 2 Sm 3.60
Tm (0.4202, 0.1333, 0.0000)  1 Sm 3.33, 6 Y 3.36-3.54, 4 Tm 3.46-3.57
Tm (0.4392, 0.4213, 0.0000)  6 Y 3.44-3.55, 5 Tm 3.47-3.69, 1 Sm 3.80
Tm (0.5608, 0.5787, 0.0000)  6 Y 3.44-3.55, 5 Tm 3.47-3.69, 1 Sm 3.80
Tm (0.5798, 0.8667, 0.0000)  1 Sm 3.33, 6 Y 3.36-3.54, 4 Tm 3.46-3.57
Tm (0.6761, 0.1313, 0.5000)  2 Y 3.29-3.34, 6 Tm 3.46-3.69, 2 Sm 3.60
Tm (0.8239, 0.6313, 0.5000)  2 Y 3.29-3.34, 6 Tm 3.46-3.69, 2 Sm 3.60
Tm (0.9202, 0.3667, 0.0000)  1 Sm 3.33, 6 Y 3.36-3.54, 4 Tm 3.46-3.57
Tm (0.9392, 0.0787, 0.0000)  6 Y 3.44-3.55, 5 Tm 3.47-3.69, 1 Sm 3.80

Entry 2:
First-principles (PBE-GGA) data for a relaxed SmY12Tm2 crystal, as listed in Alexandria.

Values from the calculation:
space group: Cmme, No. 67
V: 33.0 Å³/atom
formation energy: 0.179 eV per atom
total magnetic moment: 0.08 Bohr magnetons per cell
VASP energy: -5.9029 eV/atom

Cell: 6.6770 6.6770 24.6815 Å, 90.00 90.00 115.88°
Last column: nearest neighbours and their distance in Å.
Fractional positions:
Sm (0.2500, 0.7500, 0.0003)  8 Y 3.43-3.67, 2 Sm 3.54
Sm (0.7500, 0.2500, 0.9997)  8 Y 3.43-3.67, 2 Sm 3.54
Y (0.0003, 0.5003, 0.1301)  8 Y 3.32-3.58, 2 Sm 3.66-3.67
Y (0.9997, 0.4997, 0.8699)  8 Y 3.32-3.58, 2 Sm 3.66-3.67
Y (0.0005, 0.9995, 0.9217)  2 Sm 3.43, 8 Y 3.50-3.58
Y (0.0104, 0.5104, 0.5882)  8 Y 3.31-3.69
Y (0.0140, 0.9860, 0.4388)  5 Y 3.04-3.31
Y (0.2500, 0.2500, 0.2003)  3 Y 3.10-3.32
Y (0.2500, 0.2500, 0.3259)  3 Y 3.10-3.31
Y (0.2500, 0.2500, 0.6741)  3 Y 3.10-3.31
Y (0.2500, 0.2500, 0.7997)  3 Y 3.10-3.32
Y (0.4860, 0.5140, 0.4388)  5 Y 3.04-3.31
Y (0.4896, 0.9896, 0.5882)  8 Y 3.31-3.69
Y (0.4995, 0.5005, 0.9217)  2 Sm 3.43, 8 Y 3.50-3.58
Y (0.4997, 0.9997, 0.1301)  8 Y 3.32-3.58, 2 Sm 3.66-3.67
Y (0.5003, 0.0003, 0.8699)  8 Y 3.32-3.58, 2 Sm 3.66-3.67
Y (0.5005, 0.4995, 0.0783)  2 Sm 3.43, 8 Y 3.50-3.58
Y (0.5104, 0.0104, 0.4118)  8 Y 3.31-3.69
Y (0.5140, 0.4860, 0.5612)  5 Y 3.04-3.31
Y (0.7500, 0.7500, 0.2003)  3 Y 3.10-3.32
Y (0.7500, 0.7500, 0.3259)  3 Y 3.10-3.31
Y (0.7500, 0.7500, 0.6741)  3 Y 3.10-3.31
Y (0.7500, 0.7500, 0.7997)  3 Y 3.10-3.32
Y (0.9860, 0.0140, 0.5612)  5 Y 3.04-3.31
Y (0.9896, 0.4896, 0.4118)  8 Y 3.31-3.69
Y (0.9995, 0.0005, 0.0783)  2 Sm 3.43, 8 Y 3.50-3.58
Tm (0.2500, 0.7500, 0.2686)  2 Tm 3.54, 10 Y 3.63-3.85
Tm (0.2500, 0.7500, 0.7340)  2 Tm 3.54, 10 Y 3.65-3.79
Tm (0.7500, 0.2500, 0.2660)  2 Tm 3.54, 10 Y 3.65-3.79
Tm (0.7500, 0.2500, 0.7314)  2 Tm 3.54, 10 Y 3.63-3.85

Number 1: DOS at the Fermi energy 34.93 states/eV per cell. Number 2: DOS at the Fermi energy 57.42 states/eV per cell.